(a)
A plane-wave DFT calculation with PBE was carried out for a relaxed structure of RbLaMg2.

Magnetization (μB per atom): 0.000
Space group: I-42d

The structure in POSCAR format:
```
RbLaMg2
1.0
-4.6722 4.6722 3.6422
4.6722 -4.6722 3.6422
4.6722 4.6722 -3.6422
Rb La Mg
2 2 4
direct
0.0000 0.0000 0.0000 Rb
0.7500 0.2500 0.5000 Rb
0.2500 0.7500 0.5000 La
0.5000 0.5000 0.0000 La
0.1430 0.1250 0.5180 Mg
0.3750 0.8570 0.9820 Mg
0.6070 0.6250 0.4820 Mg
0.8750 0.3930 0.0180 Mg
```

***

(b)
A plane-wave DFT calculation with PBE was carried out for a relaxed structure of RbLaMg2.

Magnetization (μB per atom): 0.000
Space group: Fm-3m

The structure in POSCAR format:
```
RbLaMg2
1.0
0.0000 4.1865 4.1865
4.1865 0.0000 4.1865
4.1865 4.1865 0.0000
Rb La Mg
1 1 2
direct
0.0000 0.0000 0.0000 Rb
0.5000 0.5000 0.5000 La
0.2500 0.2500 0.2500 Mg
0.7500 0.7500 0.7500 Mg
```

***

Stability, descending: (b), (a)

***

(a)
A plane-wave DFT calculation with PBE was carried out for a relaxed structure of RbLa2MgRh.

Magnetization (μB per atom): 0.131
Space group: P4/mmm

The structure in POSCAR format:
```
RbLa2MgRh
1.0
5.9453 0.0000 0.0000
0.0000 5.9453 0.0000
0.0000 0.0000 5.7722
Rb La Mg Rh
1 2 1 1
direct
0.0000 0.0000 0.0000 Rb
0.0000 0.5000 0.5000 La
0.5000 0.0000 0.5000 La
0.0000 0.0000 0.5000 Mg
0.5000 0.5000 0.0000 Rh
```

***

(b)
A plane-wave DFT calculation with PBE was carried out for a relaxed structure of RbLa2MgRh.

Magnetization (μB per atom): 0.001
Space group: P4/mmm

The structure in POSCAR format:
```
RbLa2MgRh
1.0
5.6131 0.0000 0.0000
0.0000 5.6131 0.0000
0.0000 0.0000 5.5843
Rb La Mg Rh
1 2 1 1
direct
0.0000 0.0000 0.0000 Rb
0.0000 0.5000 0.5000 La
0.5000 0.0000 0.5000 La
0.5000 0.5000 0.0000 Mg
0.5000 0.5000 0.5000 Rh
```

***

Stability, descending: (b), (a)

***

(a)
A plane-wave DFT calculation with PBE was carried out for a relaxed structure of RbLa2MgSn.

Magnetization (μB per atom): 0.000
Space group: P4/mmm

The structure in POSCAR format:
```
RbLa2MgSn
1.0
6.0847 0.0000 0.0000
0.0000 6.0847 0.0000
0.0000 0.0000 5.4809
Rb La Mg Sn
1 2 1 1
direct
0.0000 0.0000 0.0000 Rb
0.0000 0.5000 0.5000 La
0.5000 0.0000 0.5000 La
0.5000 0.5000 0.5000 Mg
0.5000 0.5000 0.0000 Sn
```

***

(b)
A plane-wave DFT calculation with PBE was carried out for a relaxed structure of RbLa2MgSn.

Magnetization (μB per atom): 0.000
Space group: P4/mmm

The structure in POSCAR format:
```
RbLa2MgSn
1.0
6.1354 0.0000 0.0000
0.0000 6.1354 0.0000
0.0000 0.0000 6.7857
Rb La Mg Sn
1 2 1 1
direct
0.0000 0.0000 0.0000 Rb
0.0000 0.5000 0.5000 La
0.5000 0.0000 0.5000 La
0.5000 0.5000 0.0000 Mg
0.0000 0.0000 0.5000 Sn
```

***

Stability, descending: (b), (a)

***

(a)
A plane-wave DFT calculation with PBE was carried out for a relaxed structure of La4MgRe.

Magnetization (μB per atom): 0.000
Space group: F-43m

The structure in POSCAR format:
```
La4MgRe
1.0
0.0000 4.4343 4.4343
4.4343 0.0000 4.4343
4.4343 4.4343 0.0000
La Mg Re
4 1 1
direct
0.3768 0.3768 0.3768 La
0.3768 0.3768 0.8696 La
0.3768 0.8696 0.3768 La
0.8696 0.3768 0.3768 La
0.0000 0.0000 0.0000 Mg
0.7500 0.7500 0.7500 Re
```

***

(b)
A plane-wave DFT calculation with PBE was carried out for a relaxed structure of La4MgRe.

Magnetization (μB per atom): 0.000
Space group: C2/c

The structure in POSCAR format:
```
La4MgRe
1.0
4.7063 -6.8334 0.0000
4.7063 6.8334 0.0000
-2.1082 0.0000 6.0279
La Mg Re
8 2 2
direct
0.0573 0.7264 0.9441 La
0.1950 0.3575 0.6292 La
0.2736 0.9427 0.5559 La
0.3575 0.1950 0.1292 La
0.6425 0.8050 0.8708 La
0.7264 0.0573 0.4441 La
0.8050 0.6425 0.3708 La
0.9427 0.2736 0.0559 La
0.3798 0.6202 0.2500 Mg
0.6202 0.3798 0.7500 Mg
0.0010 0.9990 0.2500 Re
0.9990 0.0010 0.7500 Re
```

***

Stability, descending: (b), (a)

***

(a)
A plane-wave DFT calculation with PBE was carried out for a relaxed structure of LaMg3Re.

Magnetization (μB per atom): 0.000
Space group: Pm-3m

The structure in POSCAR format:
```
LaMg3Re
1.0
5.0960 0.0000 0.0000
0.0000 5.0960 0.0000
0.0000 0.0000 5.0960
La Mg Re
1 3 1
direct
0.0000 0.0000 0.0000 La
0.0000 0.5000 0.5000 Mg
0.5000 0.0000 0.5000 Mg
0.5000 0.5000 0.0000 Mg
0.5000 0.5000 0.5000 Re
```

***

(b)
A plane-wave DFT calculation with PBE was carried out for a relaxed structure of LaMg3Re.

Magnetization (μB per atom): 0.000
Space group: Pm-3m

The structure in POSCAR format:
```
LaMg3Re
1.0
5.4183 0.0000 0.0000
0.0000 5.4183 0.0000
0.0000 0.0000 5.4183
La Mg Re
1 3 1
direct
0.0000 0.0000 0.0000 La
0.0000 0.0000 0.5000 Mg
0.0000 0.5000 0.0000 Mg
0.5000 0.0000 0.0000 Mg
0.5000 0.5000 0.5000 Re
```

***

Stability, descending: (a), (b)

***

(a)
A plane-wave DFT calculation with PBE was carried out for a relaxed structure of LaMg4Rh.

Magnetization (μB per atom): 0.000
Space group: F-43m

The structure in POSCAR format:
```
LaMg4Rh
1.0
0.0000 4.0459 4.0459
4.0459 0.0000 4.0459
4.0459 4.0459 0.0000
La Mg Rh
1 4 1
direct
0.0000 0.0000 0.0000 La
0.1293 0.6236 0.6236 Mg
0.6236 0.1293 0.6236 Mg
0.6236 0.6236 0.1293 Mg
0.6236 0.6236 0.6236 Mg
0.2500 0.2500 0.2500 Rh
```

***

(b)
A plane-wave DFT calculation with PBE was carried out for a relaxed structure of LaMg4Rh.

Magnetization (μB per atom): 0.000
Space group: Pmma

The structure in POSCAR format:
```
LaMg4Rh
1.0
8.6723 0.0000 0.0000
0.0000 4.3652 0.0000
0.0000 0.0000 7.4347
La Mg Rh
2 8 2
direct
0.2500 0.0000 0.0836 La
0.7500 0.0000 0.9164 La
0.0000 0.0000 0.5000 Mg
0.0606 0.5000 0.7948 Mg
0.2500 0.5000 0.4611 Mg
0.4394 0.5000 0.7948 Mg
0.5000 0.0000 0.5000 Mg
0.5606 0.5000 0.2052 Mg
0.7500 0.5000 0.5389 Mg
0.9394 0.5000 0.2052 Mg
0.2500 0.0000 0.7205 Rh
0.7500 0.0000 0.2795 Rh
```

***

Stability, descending: (b), (a)

***

(a)
A plane-wave DFT calculation with PBE was carried out for a relaxed structure of LaMg2ZnRh.

Magnetization (μB per atom): 0.000
Space group: P4/mmm

The structure in POSCAR format:
```
LaMg2ZnRh
1.0
4.7847 0.0000 0.0000
0.0000 4.7847 0.0000
0.0000 0.0000 4.9988
La Mg Zn Rh
1 2 1 1
direct
0.0000 0.0000 0.0000 La
0.0000 0.5000 0.5000 Mg
0.5000 0.0000 0.5000 Mg
0.5000 0.5000 0.5000 Zn
0.5000 0.5000 0.0000 Rh
```

***

(b)
A plane-wave DFT calculation with PBE was carried out for a relaxed structure of LaMg2ZnRh.

Magnetization (μB per atom): 0.029
Space group: P4/mmm

The structure in POSCAR format:
```
LaMg2ZnRh
1.0
4.8937 0.0000 0.0000
0.0000 4.8937 0.0000
0.0000 0.0000 4.9230
La Mg Zn Rh
1 2 1 1
direct
0.0000 0.0000 0.0000 La
0.0000 0.5000 0.5000 Mg
0.5000 0.0000 0.5000 Mg
0.5000 0.5000 0.0000 Zn
0.5000 0.5000 0.5000 Rh
```

***

Stability, descending: (b), (a)

***

(a)
A plane-wave DFT calculation with PBE was carried out for a relaxed structure of La4MgRu.

Magnetization (μB per atom): 0.000
Space group: C2/c

The structure in POSCAR format:
```
La4MgRu
1.0
4.7384 -6.5622 0.0000
4.7384 6.5622 0.0000
-1.8612 0.0000 6.0487
La Mg Ru
8 2 2
direct
0.0500 0.7249 0.9515 La
0.1886 0.3738 0.6149 La
0.2751 0.9500 0.5485 La
0.3738 0.1886 0.1149 La
0.6262 0.8114 0.8851 La
0.7249 0.0500 0.4515 La
0.8114 0.6262 0.3851 La
0.9500 0.2751 0.0485 La
0.3836 0.6164 0.2500 Mg
0.6164 0.3836 0.7500 Mg
0.0018 0.9982 0.2500 Ru
0.9982 0.0018 0.7500 Ru
```

***

(b)
A plane-wave DFT calculation with PBE was carried out for a relaxed structure of La4MgRu.

Magnetization (μB per atom): 0.000
Space group: F-43m

The structure in POSCAR format:
```
La4MgRu
1.0
0.0000 7.1639 7.1639
7.1639 0.0000 7.1639
7.1639 7.1639 0.0000
La Mg Ru
16 4 4
direct
0.1875 0.1875 0.8125 La
0.1875 0.8125 0.1875 La
0.1875 0.8125 0.8125 La
0.3443 0.3443 0.3443 La
0.3443 0.3443 0.9671 La
0.3443 0.9671 0.3443 La
0.5595 0.5595 0.9405 La
0.5595 0.9405 0.5595 La
0.5595 0.9405 0.9405 La
0.8125 0.1875 0.1875 La
0.8125 0.1875 0.8125 La
0.8125 0.8125 0.1875 La
0.9405 0.5595 0.5595 La
0.9405 0.5595 0.9405 La
0.9405 0.9405 0.5595 La
0.9671 0.3443 0.3443 La
0.2656 0.5781 0.5781 Mg
0.5781 0.2656 0.5781 Mg
0.5781 0.5781 0.2656 Mg
0.5781 0.5781 0.5781 Mg
0.1370 0.1370 0.1370 Ru
0.1370 0.1370 0.5889 Ru
0.1370 0.5889 0.1370 Ru
0.5889 0.1370 0.1370 Ru
```

***

Stability, descending: (b), (a)